An optimized crystal structure of SrVPO5. Source: the Alexandria database, functional GGA+U.

Size of the total moment (μB per formula unit): 2.0
Raw total energy (eV/atom): -7.45

Cell lengths 5.6815, 5.6815, 7.1433 Å; angles 103.65, 103.65, 106.38 degrees
Element x y z (fractional)
Sr  0.1694  0.8306  0.7500
Sr  0.8306  0.1694  0.2500
V  0.5000  0.5000  0.0000
V  0.5000  0.5000  0.5000
P  0.1823  0.8177  0.2500
P  0.8177  0.1823  0.7500
O  0.0922  0.2520  0.9038
O  0.1827  0.6227  0.3722
O  0.2520  0.0922  0.4038
O  0.3773  0.8173  0.1278
O  0.4330  0.5670  0.7500
O  0.5670  0.4330  0.2500
O  0.6227  0.1827  0.8722
O  0.7480  0.9078  0.5962
O  0.8173  0.3773  0.6278
O  0.9078  0.7480  0.0962